A plane-wave DFT calculation with GGA-PBEsol was carried out for a relaxed Be15Nb6Cu8 crystal.

a b c (Å): 7.600 7.600 7.600
angles (deg): 60.00 60.00 60.00
Atoms (fractional coordinates):
Be 0.000 0.000 0.000
Be 0.000 0.000 0.500
Be 0.000 0.500 0.000
Be 0.000 0.500 0.500
Be 0.020 0.327 0.327
Be 0.327 0.020 0.327
Be 0.327 0.327 0.020
Be 0.327 0.327 0.327
Be 0.500 0.000 0.000
Be 0.500 0.000 0.500
Be 0.500 0.500 0.000
Be 0.673 0.673 0.673
Be 0.673 0.673 0.980
Be 0.673 0.980 0.673
Be 0.980 0.673 0.673
Nb 0.307 0.307 0.693
Nb 0.307 0.693 0.307
Nb 0.307 0.693 0.693
Nb 0.693 0.307 0.307
Nb 0.693 0.307 0.693
Nb 0.693 0.693 0.307
Cu 0.123 0.123 0.123
Cu 0.123 0.123 0.631
Cu 0.123 0.631 0.123
Cu 0.369 0.877 0.877
Cu 0.631 0.123 0.123
Cu 0.877 0.369 0.877
Cu 0.877 0.877 0.369
Cu 0.877 0.877 0.877

Output
- ΔE_f (eV per formula unit) = -6.00
- DFT total energy (eV for the cell shown) = -165.598

***

A plane-wave DFT calculation with GGA-PBEsol was carried out for a relaxed Tl3Au2 crystal.

a b c (Å): 9.333 9.333 9.333
angles (deg): 24.91 24.91 24.91
Atoms (fractional coordinates):
Tl 0.000 0.000 0.000
Tl 0.210 0.210 0.210
Tl 0.790 0.790 0.790
Au 0.395 0.395 0.395
Au 0.605 0.605 0.605

Output
- ΔE_f (eV per formula unit) = 0.22
- DFT total energy (eV for the cell shown) = -15.518
- relative energy among the computed polymorphs (meV per atom) = 12

***

A plane-wave DFT calculation with GGA-PBEsol was carried out for a relaxed YHf2Pt2 crystal.

a b c (Å): 7.683 7.683 3.365
angles (deg): 90.00 90.00 90.00
Atoms (fractional coordinates):
Y 0.000 0.000 0.000
Y 0.500 0.500 0.000
Hf 0.163 0.337 0.500
Hf 0.337 0.837 0.500
Hf 0.663 0.163 0.500
Hf 0.837 0.663 0.500
Pt 0.130 0.630 0.000
Pt 0.370 0.130 0.000
Pt 0.630 0.870 0.000
Pt 0.870 0.370 0.000

Output
- ΔE_f (eV per formula unit) = -4.32
- DFT total energy (eV for the cell shown) = -92.157
- relative energy among the computed polymorphs (meV per atom) = 34

***

A plane-wave DFT calculation with GGA-PBEsol was carried out for a relaxed YMnO3 crystal.

a b c (Å): 5.592 7.506 5.226
angles (deg): 90.00 90.00 90.00
Atoms (fractional coordinates):
Y 0.073 0.250 0.019
Y 0.427 0.750 0.519
Y 0.573 0.250 0.481
Y 0.927 0.750 0.981
Mn 0.000 0.000 0.500
Mn 0.000 0.500 0.500
Mn 0.500 0.000 0.000
Mn 0.500 0.500 0.000
O 0.035 0.750 0.392
O 0.193 0.555 0.804
O 0.193 0.945 0.804
O 0.307 0.055 0.304
O 0.307 0.445 0.304
O 0.465 0.250 0.892
O 0.535 0.750 0.108
O 0.693 0.555 0.696
O 0.693 0.945 0.696
O 0.807 0.055 0.196
O 0.807 0.445 0.196
O 0.965 0.250 0.608

Output
- raw formation energy (eV per atom) = -2.67
- DFT total energy (eV for the cell shown) = -182.701

***

A plane-wave DFT calculation with GGA-PBEsol was carried out for a relaxed SrInSb2 crystal.

a b c (Å): 5.605 5.605 3.720
angles (deg): 90.00 90.00 103.34
Atoms (fractional coordinates):
Sr 0.000 0.000 0.000
In 0.500 0.500 0.000
Sb 0.000 0.500 0.500
Sb 0.500 0.000 0.500

Output
- raw formation energy (eV per atom) = -0.42
- DFT total energy (eV for the cell shown) = -15.617

***

A plane-wave DFT calculation with GGA-PBEsol was carried out for a relaxed Cu4P3O12 crystal.

a b c (Å): 8.552 8.552 6.265
angles (deg): 105.82 105.82 91.75
Atoms (fractional coordinates):
Cu 0.000 0.000 0.250
Cu 0.000 0.000 0.750
Cu 0.125 0.436 0.867
Cu 0.261 0.739 0.750
Cu 0.436 0.125 0.367
Cu 0.564 0.875 0.633
Cu 0.739 0.261 0.250
Cu 0.875 0.564 0.133
P 0.149 0.368 0.366
P 0.211 0.789 0.250
P 0.368 0.149 0.866
P 0.632 0.851 0.134
P 0.789 0.211 0.750
P 0.851 0.632 0.634
O 0.009 0.230 0.319
O 0.022 0.778 0.232
O 0.090 0.462 0.180
O 0.162 0.497 0.603
O 0.222 0.978 0.268
O 0.230 0.009 0.819
O 0.249 0.688 0.032
O 0.308 0.312 0.859
O 0.312 0.308 0.359
O 0.312 0.751 0.468
O 0.462 0.090 0.680
O 0.497 0.162 0.103
O 0.503 0.838 0.897
O 0.538 0.910 0.320
O 0.688 0.249 0.532
O 0.688 0.692 0.641
O 0.692 0.688 0.141
O 0.751 0.312 0.968
O 0.770 0.991 0.181
O 0.778 0.022 0.732
O 0.838 0.503 0.397
O 0.910 0.538 0.820
O 0.978 0.222 0.768
O 0.991 0.770 0.681

Output
- raw formation energy (eV per atom) = -1.43
- DFT total energy (eV for the cell shown) = -249.603